Record 1
First-principles (PBE) data for a relaxed AgTe2N crystal, as listed in Alexandria via LeMat-Bulk.

Unit cell a=3.3743 b=3.3743 c=27.9950 alpha=90.00 beta=90.00 gamma=120.00
Space group R-3m (No. 166, hexagonal axes)
Symmetry-distinct sites (fractional):
1 Ag 0.0000 0.0000 0.0000 x3
2 Te 0.0000 0.0000 0.4307 x6
3 N 0.0000 0.0000 0.5000 x3

formation energy from raw total energies: 3.51 eV/f.u.
Fermi-level density of states: 8.48 states/eV/cell

Record 2
First-principles (PBE) data for a relaxed AgTe2N2 crystal, as listed in Alexandria via LeMat-Bulk.

Unit cell a=4.2444 b=4.2444 c=6.6087 alpha=90.00 beta=90.00 gamma=90.00
Space group P4/mmm (No. 123)
Symmetry-distinct sites (fractional):
1 Ag 0.0000 0.0000 0.0000 x1
2 Te 0.0000 0.0000 0.5000 x1
3 Te 0.5000 0.5000 0.5000 x1
4 N 0.0000 0.5000 0.0000 x2

formation energy from raw total energies: 8.41 eV/f.u.
Fermi-level density of states: 1.27 states/eV/cell